(1)
Below is an optimized crystal structure of Li3NbZn, with properties calculated at the PBE level.

a = 5.1641 Å, b = 5.1641 Å, c = 5.1641 Å
α = 90.00°, β = 90.00°, γ = 90.00°
Last column: nearest neighbours and their distance in Å.
Space group Pm-3m (No. 221)
Inequivalent atoms, fractional coordinates:
Li  0.0000  0.0000  0.5000 x3  2 Nb 2.58
Nb  0.0000  0.0000  0.0000 x1  6 Li 2.58
Zn  0.5000  0.5000  0.5000 x1  12 Li 3.65

Summary:
The value obtained for the formation energy is 6.32 eV per formula unit. The calculation puts the total moment at 4.5 μB per formula unit.

***

(2)
Below is an optimized crystal structure of RbLu2Co, with properties calculated at the PBE level.

a = 3.9003 Å, b = 3.9003 Å, c = 32.0520 Å
α = 90.00°, β = 90.00°, γ = 120.00°
Last column: nearest neighbours and their distance in Å.
Space group R-3m (No. 166, hexagonal axes)
Inequivalent atoms, fractional coordinates:
Rb  0.0000  0.0000  0.0000 x3  6 Rb 3.90, 2 Lu 4.01
Lu  0.0000  0.0000  0.1251 x6  3 Co 2.62
Co  0.0000  0.0000  0.5000 x3  6 Lu 2.62

Summary:
The value obtained for the formation energy is 0.43 eV per formula unit. The calculation puts the total moment at 0.0 μB per formula unit.

***

(3)
Below is an optimized crystal structure of ZrSn2SCl, with properties calculated at the PBE level.

a = 5.3278 Å, b = 5.3278 Å, c = 4.4854 Å
α = 90.00°, β = 90.00°, γ = 90.00°
Last column: nearest neighbours and their distance in Å.
Space group P4/mmm (No. 123)
Inequivalent atoms, fractional coordinates:
Zr  0.0000  0.0000  0.0000 x1  8 Sn 3.48, 4 Cl 3.77
Sn  0.0000  0.5000  0.5000 x2  2 S 2.66
S  0.5000  0.5000  0.5000 x1  2 Cl 2.24
Cl  0.5000  0.5000  0.0000 x1  2 S 2.24

Summary:
For the uncorrected formation energy, the calculation gives 0.417 eV per atom. The calculation puts the total moment at 0.0 μB per formula unit.

***

(4)
Below is an optimized crystal structure of AcLaPm3, with properties calculated at the PBE level.

a = 6.8764 Å, b = 8.9248 Å, c = 12.5942 Å
α = 90.00°, β = 90.00°, γ = 90.00°
Last column: nearest neighbours and their distance in Å.
Space group Imma (No. 74)
Inequivalent atoms, fractional coordinates:
Ac  0.0000  0.0000  0.0000 x4  6 Pm 3.65-3.77
La  0.0000  0.2500  0.4914 x4  1 Pm 3.36
Pm  0.0000  0.2500  0.7582 x4  6 Pm 3.36-3.44, 1 La 3.36
Pm  0.2500  0.0727  0.2500 x8  5 Pm 3.16-3.44

Summary:
The value obtained for the formation energy is 1.32 eV per formula unit. The calculation puts the total moment at 0.0 μB per formula unit.

***

(5)
Below is an optimized crystal structure of Rb2Be2Pt, with properties calculated at the PBE level.

a = 3.1593 Å, b = 3.1593 Å, c = 22.9620 Å
α = 90.00°, β = 90.00°, γ = 90.00°
Last column: nearest neighbours and their distance in Å.
Space group I4/mmm (No. 139)
Inequivalent atoms, fractional coordinates:
Rb  0.0000  0.0000  0.1054 x4  4 Rb 3.16, 4 Pt 3.29
Be  0.0000  0.5000  0.2500 x4  4 Be 2.23
Pt  0.0000  0.0000  0.5000 x2  4 Pt 3.16, 8 Rb 3.29

Summary:
The value obtained for the formation energy is 3.19 eV per formula unit. The calculation puts the total moment at 0.0 μB per formula unit.

***

(6)
Below is an optimized crystal structure of BaGaH, with properties calculated at the PBE level.

a = 12.6137 Å, b = 4.2764 Å, c = 5.6089 Å
α = 90.00°, β = 96.94°, γ = 90.00°
Last column: nearest neighbours and their distance in Å.
Space group C2/m (No. 12)
Inequivalent atoms, fractional coordinates:
Ba  0.1355  0.0000  0.2238 x4  3 H 2.65-2.66
Ga  0.0775  0.5000  0.6906 x4  1 H 1.75
H  0.1781  0.5000  0.5025 x4  1 Ga 1.75

Summary:
For the raw total energy, the calculation gives -9.35 eV per formula unit. The calculation puts the total moment at 0.0 μB per formula unit.

***

(7)
Below is an optimized crystal structure of NdErGaHg, with properties calculated at the PBE level.

a = 7.4212 Å, b = 7.4212 Å, c = 7.4212 Å
α = 90.00°, β = 90.00°, γ = 90.00°
Last column: nearest neighbours and their distance in Å.
Space group F-43m (No. 216)
Inequivalent atoms, fractional coordinates:
Nd  0.0000  0.0000  0.0000 x4  4 Hg 3.21, 4 Ga 3.21
Er  0.0000  0.0000  0.5000 x4  4 Hg 3.21, 4 Ga 3.21
Ga  0.2500  0.2500  0.7500 x4  4 Er 3.21, 4 Nd 3.21
Hg  0.2500  0.2500  0.2500 x4  4 Er 3.21, 4 Nd 3.21

Summary:
The value obtained for the formation energy is -1.97 eV per formula unit. The calculation puts the total moment at 0.0 μB per formula unit.

***

(8)
Below is an optimized crystal structure of HgBiP2S, with properties calculated at the PBE level.

a = 5.4117 Å, b = 5.4117 Å, c = 5.2276 Å
α = 90.00°, β = 90.00°, γ = 90.00°
Last column: nearest neighbours and their distance in Å.
Space group P4/mmm (No. 123)
Inequivalent atoms, fractional coordinates:
Hg  0.0000  0.0000  0.0000 x1  8 P 3.76, 4 S 3.83
Bi  0.5000  0.5000  0.5000 x1  2 S 2.61, 4 P 2.71
P  0.0000  0.5000  0.5000 x2  2 Bi 2.71
S  0.5000  0.5000  0.0000 x1  2 Bi 2.61

Summary:
For the uncorrected formation energy, the calculation gives 1.062 eV per atom. The calculation puts the total moment at 2.4 μB per formula unit.

***

(9)
Below is an optimized crystal structure of Tm4GaTe4, with properties calculated at the PBE level.

a = 6.6871 Å, b = 6.6871 Å, c = 14.5665 Å
α = 90.00°, β = 90.00°, γ = 90.00°
Last column: nearest neighbours and their distance in Å.
Space group I-42m (No. 121)
Inequivalent atoms, fractional coordinates:
Tm  0.2105  0.2105  0.1311 x8  1 Ga 2.76, 4 Te 3.00-3.06
Ga  0.0000  0.0000  0.0000 x2  4 Tm 2.76
Te  0.0000  0.0000  0.2850 x4  4 Tm 3.00
Te  0.0000  0.5000  0.0000 x4  4 Tm 3.06, 2 Ga 3.34

Summary:
For the uncorrected formation energy, the calculation gives -0.751 eV per atom. The calculation puts the total moment at 0.0 μB per formula unit.

***

(10)
Below is an optimized crystal structure of HoScPd, with properties calculated at the PBE level.

a = 3.4393 Å, b = 3.4393 Å, c = 11.5454 Å
α = 90.00°, β = 90.00°, γ = 90.00°
Last column: nearest neighbours and their distance in Å.
Space group I4mm (No. 107)
Inequivalent atoms, fractional coordinates:
Ho  0.0000  0.0000  0.0000 x2  4 Pd 3.04, 1 Sc 3.27
Sc  0.0000  0.0000  0.2829 x2  4 Pd 2.83
Pd  0.0000  0.0000  0.6578 x2  4 Sc 2.83, 4 Ho 3.04

Summary:
The value obtained for the formation energy is -1.64 eV per formula unit. The calculation puts the total moment at 0.0 μB per formula unit.

***

(11)
Below is an optimized crystal structure of Ba4SnRh, with properties calculated at the PBE level.

a = 10.2806 Å, b = 15.1406 Å, c = 7.1461 Å
α = 90.00°, β = 117.39°, γ = 90.00°
Last column: nearest neighbours and their distance in Å.
Space group C2/c (No. 15)
Inequivalent atoms, fractional coordinates:
Ba  0.1143  0.1667  0.0718 x8  2 Rh 3.23-3.30, 1 Sn 3.60
Ba  0.2103  0.4324  0.3166 x8  2 Rh 3.33-3.38, 1 Sn 3.61
Sn  0.0000  0.3683  0.7500 x4  8 Ba 3.60-3.74
Rh  0.0000  0.0015  0.7500 x4  8 Ba 3.23-3.38, 2 Rh 3.57

Summary:
The value obtained for the formation energy is -2.03 eV per formula unit. The calculation puts the total moment at 0.5 μB per formula unit.

***

(12)
Below is an optimized crystal structure of Ac2Zn5Cd3, with properties calculated at the PBE level.

a = 10.8678 Å, b = 13.3218 Å, c = 6.4597 Å
α = 90.00°, β = 90.00°, γ = 90.00°
Last column: nearest neighbours and their distance in Å.
Space group Ibam (No. 72)
Inequivalent atoms, fractional coordinates:
Ac  0.2331  0.1252  0.0000 x8  10 Zn 3.44-3.64, 7 Cd 3.49-3.76
Zn  0.0000  0.0000  0.2500 x4  4 Cd 2.74
Zn  0.0000  0.2789  0.2500 x8  2 Zn 2.58, 2 Cd 2.76
Zn  0.1435  0.3748  0.0000 x8  2 Zn 2.58, 3 Cd 2.66-2.80
Cd  0.0000  0.5000  0.2500 x4  6 Zn 2.80-2.94
Cd  0.1124  0.1383  0.5000 x8  5 Zn 2.66-2.76

Summary:
The value obtained for the formation energy is -2.59 eV per formula unit. The calculation puts the total moment at 0.0 μB per formula unit.